Here is TlNi3F after structural relaxation from the Alexandria database. Energies are from PBE with a Hubbard U.

The size of the total moment is 3.68 μB per formula unit. For the uncorrected energy, the calculation gives -0.101 Ry per atom.

It has space group Pm-3m (No. 221), with a = 4.9635 Å, b = 4.9635 Å, c = 4.9635 Å, α = 90.00°, β = 90.00° and γ = 90.00°. Symmetry generates all atoms from Tl at (0.0000, 0.0000, 0.0000), Ni at (0.0000, 0.0000, 0.5000) and F at (0.5000, 0.5000, 0.5000).